# 1
ScAsPtO (PBE-GGA, optimized geometry); energy relative to the lowest polymorph listed for this composition = 273 meV per atom; SG = Pmc2_1, No. 26; total moment = 0.00 Bohr magnetons per cell
1.0
3.376 0.000 0.000
0.000 7.585 0.000
0.000 0.000 5.428
As O Pt Sc
2 2 2 2
direct
0.000 0.931 0.410
0.000 0.069 0.910
0.500 0.422 0.483
0.500 0.578 0.983
0.500 0.711 0.450
0.500 0.289 0.950
0.000 0.300 0.412
0.000 0.700 0.912

---

# 2
CsIr3S5 (PBE-GGA, optimized geometry); SG = P6/mmm, No. 191; total moment = 0.04 Bohr magnetons per cell
1.0
-5.048 2.667 -0.689
1.196 -4.726 -3.052
-2.897 -4.126 5.254
Cs Ir S
1 3 5
direct
0.000 0.000 0.000
0.500 0.000 0.500
0.000 0.500 0.500
0.500 0.500 0.500
0.667 0.333 0.270
0.333 0.667 0.270
0.000 0.000 0.500
0.667 0.333 0.730
0.333 0.667 0.730

---

# 3
YB4Au (PBE-GGA, optimized geometry); energy relative to the lowest polymorph listed for this composition = 139 meV per atom; SG = P6/mmm, No. 191; total moment = 0.00 Bohr magnetons per cell
1.0
3.245 0.000 0.000
-1.622 2.810 0.000
0.000 0.000 7.235
Au B Y
1 4 1
direct
0.000 0.000 0.000
0.667 0.333 0.245
0.333 0.667 0.245
0.667 0.333 0.755
0.333 0.667 0.755
0.000 0.000 0.500

---

# 4
NdHoZn6 (PBE-GGA, optimized geometry); formation enthalpy at 0 K = -0.283 eV per atom; SG = P4/mmm, No. 123; total moment = 0.01 Bohr magnetons per cell
1.0
-0.214 4.637 0.833
-4.687 -0.125 -0.509
-0.677 -1.204 6.528
Ho Nd Zn
1 1 6
direct
0.000 0.000 0.500
0.500 0.500 0.000
0.000 0.000 0.000
0.500 0.000 0.261
0.000 0.500 0.261
0.500 0.500 0.500
0.500 0.000 0.739
0.000 0.500 0.739

---

# 5
Tb2W (PBE-GGA, optimized geometry); energy relative to the lowest polymorph listed for this composition = 887 meV per atom; formation enthalpy at 0 K = 2.225 eV per atom; SG = Fd-3m, No. 227; total moment = 0.96 Bohr magnetons per cell
1.0
4.167 2.406 6.805
-4.167 2.406 6.805
0.000 -4.812 6.805
Tb W
4 2
direct
0.375 0.375 0.375
0.875 0.375 0.375
0.375 0.875 0.375
0.375 0.375 0.875
0.250 0.250 0.250
0.500 0.500 0.500

---

# 6
Na2PdF4 (PBE-GGA, optimized geometry); energy relative to the lowest polymorph listed for this composition = 0 meV per atom; SG = P4/ncc, No. 130
1.0
-3.065 4.123 5.868
4.787 -3.575 5.013
4.037 4.213 -0.851
F Na Pd
16 8 4
direct
0.931 0.254 0.081
0.246 0.431 0.081
0.754 0.569 0.081
0.069 0.746 0.081
0.746 0.069 0.419
0.431 0.246 0.419
0.569 0.754 0.419
0.254 0.931 0.419
0.069 0.254 0.581
0.754 0.431 0.581
0.246 0.569 0.581
0.931 0.746 0.581
0.254 0.069 0.919
0.569 0.246 0.919
0.431 0.754 0.919
0.746 0.931 0.919
0.173 0.173 0.250
0.673 0.327 0.250
0.327 0.673 0.250
0.827 0.827 0.250
0.827 0.173 0.750
0.327 0.327 0.750
0.673 0.673 0.750
0.173 0.827 0.750
0.000 0.500 0.072
0.500 0.000 0.428
0.000 0.500 0.572
0.500 0.000 0.928

---

# 7
NbCoPd (PBE-GGA, optimized geometry); energy relative to the lowest polymorph listed for this composition = 0 meV per atom; formation enthalpy at 0 K = 0.209 eV per atom; SG = F-43m, No. 216; total moment = 0.00 Bohr magnetons per cell
1.0
-3.782 0.550 1.499
-1.419 3.797 0.647
-2.959 1.523 -2.404
Co Nb Pd
1 1 1
direct
0.000 0.000 0.000
0.250 0.250 0.250
0.750 0.750 0.750

---

# 8
AcTcAsO (PBE-GGA, optimized geometry); energy relative to the lowest polymorph listed for this composition = 665 meV per atom; SG = Pmc2_1, No. 26; total moment = 0.00 Bohr magnetons per cell
1.0
-2.220 0.170 -3.837
-4.497 -4.122 2.420
-3.347 4.916 2.154
Ac As O Tc
2 2 2 2
direct
0.000 0.232 0.436
0.000 0.768 0.936
0.000 0.746 0.437
0.000 0.254 0.937
0.500 0.353 0.348
0.500 0.647 0.848
0.500 0.393 0.033
0.500 0.607 0.533

---

# 9
Pr2NdSi4Ir2Pd2 (PBE-GGA, optimized geometry); SG = Immm, No. 71; total moment = 0.00 Bohr magnetons per cell
1.0
-2.061 2.099 12.476
2.061 -2.099 12.476
2.061 2.099 -12.476
Ir Nd Pd Pr Si
2 1 2 2 4
direct
0.250 0.250 0.000
0.750 0.750 0.000
0.000 0.000 0.000
0.901 0.401 0.500
0.099 0.599 0.500
0.647 0.147 0.500
0.353 0.853 0.500
0.452 0.452 0.000
0.548 0.548 0.000
0.801 0.301 0.500
0.199 0.699 0.500

---

# 10
Tm12TlNi6 (PBE-GGA, optimized geometry); SG = Im-3, No. 204; total moment = 0.43 Bohr magnetons per cell
1.0
-4.772 4.772 4.772
4.772 -4.772 4.772
4.772 4.772 -4.772
Ni Tl Tm
6 1 12
direct
0.624 0.500 0.124
0.500 0.876 0.376
0.876 0.376 0.500
0.124 0.624 0.500
0.500 0.124 0.624
0.376 0.500 0.876
0.000 0.000 0.000
0.812 0.302 0.114
0.302 0.490 0.188
0.698 0.886 0.188
0.490 0.188 0.302
0.114 0.812 0.302
0.188 0.302 0.490
0.812 0.698 0.510
0.886 0.188 0.698
0.510 0.812 0.698
0.302 0.114 0.812
0.698 0.510 0.812
0.188 0.698 0.886

---

# 11
RbMgSbPt (PBE-GGA, optimized geometry); energy relative to the lowest polymorph listed for this composition = 81 meV per atom; SG = F-43m, No. 216; total moment = 0.00 Bohr magnetons per cell
1.0
-1.456 -4.852 0.847
-4.433 -1.727 -1.937
0.030 -3.400 -3.850
Mg Pt Rb Sb
1 1 1 1
direct
0.750 0.750 0.750
0.250 0.250 0.250
0.500 0.500 0.500
0.000 0.000 0.000

---

# 12
TbGdZn4 (PBE-GGA, optimized geometry); formation enthalpy at 0 K = -0.390 eV per atom; SG = Imm2, No. 44; total moment = 0.01 Bohr magnetons per cell
1.0
3.490 -4.450 -0.297
3.888 3.699 1.809
-4.603 -2.279 2.385
Gd Tb Zn
1 1 4
direct
0.530 0.530 0.000
0.970 0.470 0.500
0.372 0.166 0.206
0.128 0.834 0.294
0.540 0.834 0.706
0.960 0.166 0.794

---

Result set for calculated total energy: -0.5001, -0.4124, -0.4420, -0.1763, -0.3808, -0.3135, -0.5329, -0.5223, -0.5016, -0.3743, -0.2239, -0.2044 Ry per atom, one per record in the order listed.
Result set for calculated density: 7.91, 6.93, 8.29, 7.85, 4.07, 4.23, 8.77, 7.50, 8.74, 9.87, 7.39, 7.93 g/cm³, one per record in the order listed.